Entry 1:
A relaxed PuCu3As2 crystal. Source: Alexandria via LeMat-Bulk, functional GGA-PBE.

Structure (POSCAR):
```
PuCu3As2
1.0
-3.1900 0.0475 -2.2905
-2.1781 -7.4253 -0.4876
-5.8454 -1.8768 4.7349
As Cu Pu
4 6 2
direct
0.8121 0.6879 0.6879
0.1879 0.3121 0.3121
0.5000 0.1917 0.8083
0.5000 0.8083 0.1917
0.9999 0.3563 0.6439
0.3169 0.4785 0.8876
0.0001 0.6437 0.3561
0.6831 0.1124 0.5215
0.6831 0.5215 0.1124
0.3169 0.8876 0.4785
0.1249 0.8751 0.8751
0.8751 0.1249 0.1249
```

ΔH_f (0 K) ... -0.23 eV per atom

Entry 2:
A relaxed CsCd2GaHg crystal. Source: Alexandria via LeMat-Bulk, functional GGA-PBE.

Structure (POSCAR):
```
CsCd2GaHg
1.0
5.5290 0.0000 0.0000
0.0000 5.5290 0.0000
0.0000 0.0000 5.6027
Cd Cs Ga Hg
2 1 1 1
direct
0.5000 0.0000 0.0000
0.0000 0.5000 0.0000
0.5000 0.5000 0.5000
0.0000 0.0000 0.0000
0.0000 0.0000 0.5000
```

ΔH_f (0 K) ... -0.01 eV per atom

Entry 3:
A relaxed Tm2Ni5Ge2 crystal. Source: Alexandria via LeMat-Bulk, functional GGA-PBE.

Structure (POSCAR):
```
Tm2Ni5Ge2
1.0
-0.9742 0.5668 3.8486
-3.2797 -2.2534 -0.4983
4.4103 -6.8901 2.1310
Tm Ge Ni
2 2 5
direct
0.0000 0.0000 0.0000
0.0000 0.0000 0.5000
0.5000 0.5000 0.1487
0.5000 0.5000 0.8513
0.0000 0.5000 0.7156
0.5000 0.0000 0.7156
0.5000 0.5000 0.5000
0.0000 0.5000 0.2844
0.5000 0.0000 0.2844
```

ΔH_f (0 K) ... -0.51 eV per atom